[1]
## LaTcBr2 (PBE-GGA)

Data for a relaxed LaTcBr2 crystal.

Summary:
For the volume, the calculation gives 132.0 Å³ per cell. For the total energy, the calculation gives -5.180 eV per atom. Its polymorph energy (0 for the lowest one) is 41 meV per atom. The value obtained for the density of states at the Fermi level is 3.05 states/eV/cell. For the formation energy without anion corrections, the calculation gives -0.520 eV per atom. The crystal system is monoclinic.

Cell: 7.7132 7.7132 4.5593 Å, 89.38 89.38 29.12°
Last column: nearest neighbours and their distance in Å.
Fractional coordinates of all 4 atoms:
La  0.7500  0.7500  0.7500  4 Tc 2.99, 4 Br 3.13
Br  0.1014  0.1014  0.9872  1 Tc 2.53
Br  0.3986  0.3986  0.5128  1 Tc 2.53
Tc  0.2500  0.2500  0.2500  2 Br 2.53

[2]
## NaLaYHg (PBE-GGA)

Data for a relaxed NaLaYHg crystal.

Summary:
For the volume, the calculation gives 117.2 Å³ per cell. For the total energy, the calculation gives -3.335 eV per atom. As for the energy relative to the elements: -0.082 eV/atom. The value obtained for the density of states at the Fermi level is 5.37 states/eV/cell. The crystal system is cubic.

Cell: 5.4938 5.4938 5.4938 Å, 60.00 60.00 60.00°
Last column: nearest neighbours and their distance in Å.
Fractional coordinates of all 4 atoms:
Hg  0.0000  0.0000  0.0000  4 La 3.36, 4 Y 3.36
Na  0.5000  0.5000  0.5000  4 La 3.36, 4 Y 3.36
La  0.2500  0.2500  0.2500  4 Hg 3.36, 4 Na 3.36
Y  0.7500  0.7500  0.7500  4 Hg 3.36, 4 Na 3.36

[3]
## TiZn15 (PBE-GGA)

Data for a relaxed TiZn15 crystal.

Summary:
For the volume, the calculation gives 241.5 Å³ per cell. For the total energy, the calculation gives -1.707 eV per atom. As for the energy relative to the elements: -0.020 eV/atom. The value obtained for the density of states at the Fermi level is 5.06 states/eV/cell. The crystal system is hexagonal.

Cell: 5.6528 5.6528 8.7285 Å, 90.00 90.00 120.00°
Last column: nearest neighbours and their distance in Å.
Fractional coordinates of all 16 atoms:
Zn  0.3333  0.6667  0.7556  12 Zn 2.71-2.83
Zn  0.8351  0.1649  0.7486  11 Zn 2.70-2.86, 1 Ti 2.72
Zn  0.8351  0.6703  0.7486  11 Zn 2.70-2.86, 1 Ti 2.72
Zn  0.3297  0.1649  0.2514  11 Zn 2.70-2.86, 1 Ti 2.72
Zn  0.5039  0.0078  0.0000  10 Zn 2.71-2.89, 2 Ti 2.83
Ti  0.0000  0.0000  0.0000  12 Zn 2.72-2.83
Zn  0.9922  0.4961  0.0000  10 Zn 2.71-2.89, 2 Ti 2.83
Zn  0.8351  0.1649  0.2514  11 Zn 2.70-2.86, 1 Ti 2.72
Zn  0.3333  0.6667  0.2444  12 Zn 2.71-2.83
Zn  0.0000  0.0000  0.5000  12 Zn 2.70-2.83
Zn  0.8351  0.6703  0.2514  11 Zn 2.70-2.86, 1 Ti 2.72
Zn  0.4987  0.5013  0.5000  12 Zn 2.72-2.85
Zn  0.0026  0.5013  0.5000  12 Zn 2.72-2.85
Zn  0.4987  0.9974  0.5000  12 Zn 2.72-2.85
Zn  0.3297  0.1649  0.7486  11 Zn 2.70-2.86, 1 Ti 2.72
Zn  0.5039  0.4961  0.0000  10 Zn 2.71-2.89, 2 Ti 2.83

[4]
## CsTl6Pd4 (PBE-GGA)

Data for a relaxed CsTl6Pd4 crystal.

Summary:
For the volume, the calculation gives 285.1 Å³ per cell. For the total energy, the calculation gives -3.397 eV per atom. As for the energy relative to the elements: -0.141 eV/atom. The value obtained for the density of states at the Fermi level is 5.81 states/eV/cell. The crystal system is tetragonal.

Cell: 7.4003 7.4003 7.4003 Å, 89.43 120.33 120.33°
Last column: nearest neighbours and their distance in Å.
Fractional coordinates of all 11 atoms:
Tl  0.5000  0.0000  0.5000  4 Pd 2.92
Pd  0.3095  0.7367  0.7367  6 Tl 2.75-3.06, 2 Pd 2.86
Pd  0.0000  0.2633  0.5727  6 Tl 2.75-3.06, 2 Pd 2.86
Cs  0.0000  0.0000  0.0000  12 Tl 3.66-3.90, 4 Pd 3.70
Tl  0.0000  0.5172  0.8959  4 Pd 2.75-3.06
Tl  0.5000  0.5000  0.0000  4 Pd 2.92
Pd  0.0000  0.5727  0.2633  6 Tl 2.75-3.06, 2 Pd 2.86
Tl  0.3787  0.4828  0.4828  4 Pd 2.75-3.06
Tl  0.0000  0.8959  0.5172  4 Pd 2.75-3.06
Tl  0.6213  0.1041  0.1041  4 Pd 2.75-3.06
Pd  0.6905  0.4273  0.4273  6 Tl 2.75-3.06, 2 Pd 2.86

[5]
## TbPu4 (PBE-GGA)

Data for a relaxed TbPu4 crystal.

Summary:
For the volume, the calculation gives 169.5 Å³ per cell. For the total energy, the calculation gives -11.258 eV per atom. As for the energy relative to the elements: 1.133 eV/atom. The value obtained for the density of states at the Fermi level is 37.74 states/eV/cell. The crystal system is cubic.

Cell: 5.5339 5.5339 5.5339 Å, 90.00 90.00 90.00°
Last column: nearest neighbours and their distance in Å.
Fractional coordinates of all 5 atoms:
Tb  0.5000  0.5000  0.5000  6 Pu 2.77
Pu  0.5000  0.0000  0.5000  2 Tb 2.77
Pu  0.0000  0.0000  0.0000  12 Pu 3.91
Pu  0.0000  0.5000  0.5000  2 Tb 2.77
Pu  0.5000  0.5000  0.0000  2 Tb 2.77

[6]
## RbZn3Pb (PBE-GGA)

Data for a relaxed RbZn3Pb crystal.

Summary:
For the volume, the calculation gives 183.1 Å³ per cell. For the total energy, the calculation gives -1.389 eV per atom. Its polymorph energy (0 for the lowest one) is 0 meV per atom. As for the energy relative to the elements: 0.310 eV/atom. The value obtained for the density of states at the Fermi level is 3.20 states/eV/cell. The crystal system is cubic.

Cell: 5.6781 5.6781 5.6781 Å, 90.00 90.00 90.00°
Last column: nearest neighbours and their distance in Å.
Fractional coordinates of all 5 atoms:
Zn  0.0000  0.0000  0.5000  2 Pb 2.84
Rb  0.5000  0.5000  0.5000  12 Zn 4.01
Zn  0.0000  0.5000  0.0000  2 Pb 2.84
Zn  0.5000  0.0000  0.0000  2 Pb 2.84
Pb  0.0000  0.0000  0.0000  6 Zn 2.84

[7]
## CoMoN3 (PBE-GGA)

Data for a relaxed CoMoN3 crystal.

Summary:
For the volume, the calculation gives 60.2 Å³ per cell. For the total energy, the calculation gives -7.513 eV per atom. The value obtained for the density of states at the Fermi level is 3.76 states/eV/cell. For the formation energy without anion corrections, the calculation gives 1.069 eV per atom. The crystal system is cubic.

Cell: 3.9187 3.9187 3.9187 Å, 90.00 90.00 90.00°
Last column: nearest neighbours and their distance in Å.
Fractional coordinates of all 5 atoms:
N  0.5000  0.0000  0.0000  2 Mo 1.96
Mo  0.0000  0.0000  0.0000  6 N 1.96
N  0.0000  0.0000  0.5000  2 Mo 1.96
N  0.0000  0.5000  0.0000  2 Mo 1.96
Co  0.5000  0.5000  0.5000  12 N 2.77

[8]
## Li3HfRe (PBE-GGA)

Data for a relaxed Li3HfRe crystal.

Summary:
For the volume, the calculation gives 88.6 Å³ per cell. For the total energy, the calculation gives -4.180 eV per atom. Its polymorph energy (0 for the lowest one) is 0 meV per atom. As for the energy relative to the elements: 1.449 eV/atom. The value obtained for the density of states at the Fermi level is 4.45 states/eV/cell. The crystal system is cubic.

Cell: 4.4587 4.4587 4.4587 Å, 90.00 90.00 90.00°
Last column: nearest neighbours and their distance in Å.
Fractional coordinates of all 5 atoms:
Hf  0.5000  0.5000  0.5000  12 Li 3.15
Re  0.0000  0.0000  0.0000  6 Li 2.23
Li  0.5000  0.0000  0.0000  2 Re 2.23
Li  0.0000  0.0000  0.5000  2 Re 2.23
Li  0.0000  0.5000  0.0000  2 Re 2.23